(1)
# Sc4Si8Ni

A relaxed Sc4Si8Ni crystal (PBE-GGA, Alexandria via LeMat-Bulk).

Cell lengths 3.730, 3.800, 14.928 Å; angles 90.00, 90.00, 90.00 degrees
Fractional coordinates of all 13 atoms:
Sc 0.000 0.000 0.000
Sc 0.000 0.500 0.487
Sc 0.500 0.000 0.790
Sc 0.500 0.500 0.287
Si 0.000 0.000 0.332
Si 0.000 0.000 0.626
Si 0.000 0.500 0.143
Si 0.000 0.500 0.856
Si 0.500 0.000 0.145
Si 0.500 0.000 0.435
Si 0.500 0.500 0.624
Si 0.500 0.500 0.954
Ni 0.000 0.500 0.707

Calculated values
As for the symmetry: No. 25. As for the raw formation energy: -0.58 eV/atom.

(2)
# ScSiNi3

A relaxed ScSiNi3 crystal (PBE-GGA, Alexandria via LeMat-Bulk).

Cell lengths 4.229, 4.229, 4.229 Å; angles 90.00, 90.00, 90.00 degrees
Fractional coordinates of all 5 atoms:
Sc 0.000 0.000 0.000
Si 0.500 0.500 0.500
Ni 0.000 0.500 0.500
Ni 0.500 0.000 0.500
Ni 0.500 0.500 0.000

Calculated values
As for the symmetry: No. 221. The value obtained for the polymorph energy (0 for the lowest one) is 230 meV/atom. As for the raw formation energy: -0.16 eV/atom.

(3)
# ScSi3Ni5

A relaxed ScSi3Ni5 crystal (PBE-GGA, Alexandria via LeMat-Bulk).

Cell lengths 6.146, 6.146, 11.464 Å; angles 90.00, 90.00, 146.25 degrees
Fractional coordinates of all 18 atoms:
Sc 0.141 0.859 0.750
Sc 0.859 0.141 0.250
Si 0.120 0.880 0.250
Si 0.382 0.618 0.045
Si 0.382 0.618 0.455
Si 0.618 0.382 0.545
Si 0.618 0.382 0.955
Si 0.880 0.120 0.750
Ni 0.000 0.000 0.000
Ni 0.000 0.000 0.500
Ni 0.198 0.802 0.068
Ni 0.198 0.802 0.432
Ni 0.450 0.550 0.645
Ni 0.450 0.550 0.855
Ni 0.550 0.450 0.145
Ni 0.550 0.450 0.355
Ni 0.802 0.198 0.568
Ni 0.802 0.198 0.932

Calculated values
As for the symmetry: No. 63. As for the raw formation energy: -0.59 eV/atom.

(4)
# Sc4Si4Ni3

A relaxed Sc4Si4Ni3 crystal (PBE-GGA, Alexandria via LeMat-Bulk).

Cell lengths 8.771, 8.771, 8.771 Å; angles 161.48, 124.92, 58.63 degrees
Fractional coordinates of all 11 atoms:
Sc 0.030 0.847 0.182
Sc 0.335 0.153 0.182
Sc 0.665 0.847 0.818
Sc 0.970 0.153 0.818
Si 0.276 0.776 0.500
Si 0.334 0.000 0.334
Si 0.666 0.000 0.666
Si 0.724 0.224 0.500
Ni 0.000 0.500 0.500
Ni 0.404 0.404 0.000
Ni 0.596 0.596 0.000

Calculated values
As for the symmetry: No. 71. The value obtained for the polymorph energy (0 for the lowest one) is 133 meV/atom. As for the raw formation energy: -0.33 eV/atom.

(5)
# Sc3Si4Ni2

A relaxed Sc3Si4Ni2 crystal (PBE-GGA, Alexandria via LeMat-Bulk).

Cell lengths 5.338, 5.338, 7.567 Å; angles 105.94, 105.94, 43.14 degrees
Fractional coordinates of all 9 atoms:
Sc 0.000 0.000 0.000
Sc 0.376 0.376 0.306
Sc 0.624 0.624 0.694
Si 0.086 0.086 0.406
Si 0.285 0.285 0.927
Si 0.715 0.715 0.073
Si 0.914 0.914 0.594
Ni 0.312 0.312 0.637
Ni 0.688 0.688 0.363

Calculated values
As for the symmetry: No. 12. The value obtained for the polymorph energy (0 for the lowest one) is 22 meV/atom. As for the raw formation energy: -0.82 eV/atom.

(6)
# Sc3Si2Ni6

A relaxed Sc3Si2Ni6 crystal (PBE-GGA, Alexandria via LeMat-Bulk).

Cell lengths 7.348, 7.348, 7.348 Å; angles 109.47, 109.47, 109.47 degrees
Fractional coordinates of all 22 atoms:
Sc 0.000 0.283 0.283
Sc 0.000 0.717 0.717
Sc 0.283 0.000 0.283
Sc 0.283 0.283 0.000
Sc 0.717 0.000 0.717
Sc 0.717 0.717 0.000
Si 0.000 0.000 0.500
Si 0.000 0.500 0.000
Si 0.500 0.000 0.000
Si 0.500 0.500 0.500
Ni 0.000 0.334 0.666
Ni 0.000 0.666 0.334
Ni 0.332 0.666 0.666
Ni 0.334 0.000 0.666
Ni 0.334 0.334 0.668
Ni 0.334 0.666 0.000
Ni 0.334 0.668 0.334
Ni 0.666 0.000 0.334
Ni 0.666 0.332 0.666
Ni 0.666 0.334 0.000
Ni 0.666 0.666 0.332
Ni 0.668 0.334 0.334

Calculated values
As for the symmetry: No. 229. As for the raw formation energy: -0.70 eV/atom.